! CaSm2As | Alexandria via LeMat-Bulk | PBE | optimized geometry; values from VASP
&SYSTEM
  ibrav = 0, nat = 4, ntyp = 3
/
ATOMIC_SPECIES
Ca 40.08 Ca.upf
Sm 150.36 Sm.upf
As 74.92 As.upf
ATOMIC_POSITIONS crystal
Ca 0.500 0.500 0.499
Sm 0.058 0.058 0.827
Sm 0.276 0.276 0.173
As 0.666 0.666 0.001
CELL_PARAMETERS angstrom
4.036 0.000 0.000
2.018 3.495 0.000
2.018 1.165 9.832
! - Space-group type: No. 160
! - Formation enthalpy at 0 K: -0.63 eV per atom
! - Crystal system: trigonal

---

! CaSm3As4 | Alexandria via LeMat-Bulk | PBE | optimized geometry; values from VASP
&SYSTEM
  ibrav = 0, nat = 8, ntyp = 3
/
ATOMIC_SPECIES
Ca 40.08 Ca.upf
As 74.92 As.upf
Sm 150.36 Sm.upf
ATOMIC_POSITIONS crystal
Ca 0.000 0.000 0.000
As 0.500 0.000 0.000
As 0.000 0.500 0.000
As 0.000 0.000 0.500
As 0.500 0.500 0.500
Sm 0.000 0.500 0.500
Sm 0.500 0.000 0.500
Sm 0.500 0.500 0.000
CELL_PARAMETERS angstrom
5.967 0.000 0.000
0.000 5.967 0.000
0.000 0.000 5.967
! - Space-group type: No. 221
! - Formation enthalpy at 0 K: -1.36 eV per atom
! - Crystal system: cubic

---

! Ca3Sm2TaAs6 | Alexandria via LeMat-Bulk | PBE | optimized geometry; values from VASP
&SYSTEM
  ibrav = 0, nat = 12, ntyp = 4
/
ATOMIC_SPECIES
Ca 40.08 Ca.upf
Sm 150.36 Sm.upf
Ta 180.95 Ta.upf
As 74.92 As.upf
ATOMIC_POSITIONS crystal
Ca 0.173 0.827 0.500
Ca 0.827 0.173 0.500
Ca 0.500 0.500 0.500
Sm 0.334 0.666 0.000
Sm 0.666 0.334 0.000
Ta 0.000 0.000 0.000
As 0.923 0.615 0.769
As 0.773 0.773 0.233
As 0.077 0.385 0.231
As 0.615 0.923 0.769
As 0.227 0.227 0.767
As 0.385 0.077 0.231
CELL_PARAMETERS angstrom
-4.175 3.476 4.583
-2.192 -1.131 -6.665
-0.668 -6.741 2.643
! - Space-group type: No. 12
! - Formation enthalpy at 0 K: -1.08 eV per atom
! - Crystal system: monoclinic

---

! CaSmTh2As4 | Alexandria via LeMat-Bulk | PBE | optimized geometry; values from VASP
&SYSTEM
  ibrav = 0, nat = 8, ntyp = 4
/
ATOMIC_SPECIES
Ca 40.08 Ca.upf
Sm 150.36 Sm.upf
Th 232.04 Th.upf
As 74.92 As.upf
ATOMIC_POSITIONS crystal
Ca 0.500 0.500 0.000
Sm 0.000 0.000 0.000
Th 0.500 0.000 0.500
Th 0.000 0.500 0.500
As 0.500 0.249 0.251
As 0.500 0.751 0.749
As 0.000 0.247 0.746
As 0.000 0.753 0.254
CELL_PARAMETERS angstrom
4.260 0.000 0.000
0.000 7.380 0.131
0.000 -2.577 6.851
! - Space-group type: No. 10
! - Formation enthalpy at 0 K: -1.42 eV per atom
! - Crystal system: monoclinic

---

Q: What is the formula in the fourth record?
A: CaSmTh2As4

---

Q: Which of these has the highest formation enthalpy at 0 K?
A: CaSm2As

---

What did the fourth record say?
! CaSmTh2As4 | Alexandria via LeMat-Bulk | PBE | optimized geometry; values from VASP
&SYSTEM
  ibrav = 0, nat = 8, ntyp = 4
/
ATOMIC_SPECIES
Ca 40.08 Ca.upf
Sm 150.36 Sm.upf
Th 232.04 Th.upf
As 74.92 As.upf
ATOMIC_POSITIONS crystal
Ca 0.500 0.500 0.000
Sm 0.000 0.000 0.000
Th 0.500 0.000 0.500
Th 0.000 0.500 0.500
As 0.500 0.249 0.251
As 0.500 0.751 0.749
As 0.000 0.247 0.746
As 0.000 0.753 0.254
CELL_PARAMETERS angstrom
4.260 0.000 0.000
0.000 7.380 0.131
0.000 -2.577 6.851
! - Space-group type: No. 10
! - Formation enthalpy at 0 K: -1.42 eV per atom
! - Crystal system: monoclinic

---

Q: Look up the formation enthalpy at 0 K of the first one.
A: -0.63 eV per atom